Compound: NiAg3Sb
Source: the Alexandria database
Functional: GGA-PBE
Structure: optimized geometry

The structure in extended XYZ format:
```
5
Lattice="5.1863 0.0000 0.0000 0.0000 5.1863 0.0000 0.0000 0.0000 5.1863" Properties=species:S:1:pos:R:3 pbc="T T T"
Ni 0.0000 0.0000 0.0000
Ag 0.0000 2.5932 2.5932
Ag 2.5932 0.0000 2.5932
Ag 2.5932 2.5932 0.0000
Sb 2.5932 2.5932 2.5932
```

ΔE to the lowest computed polymorph: 7.43 kcal/mol of atoms
ΔE_f (raw): 0.99 eV per atom

=====

Compound: LaPr2Pu
Source: the Alexandria database
Functional: GGA-PBE
Structure: optimized geometry

The structure in extended XYZ format:
```
4
Lattice="3.6320 0.0000 0.0000 0.0000 3.6320 0.0000 0.0000 0.0000 10.3680" Properties=species:S:1:pos:R:3 pbc="T T T"
La 0.0000 0.0000 0.0000
Pr 1.8160 1.8160 2.7253
Pr 1.8160 1.8160 7.6427
Pu 0.0000 0.0000 5.1840
```

Energy of formation: 124 meV per atom
ΔE to the lowest computed polymorph: 0.00 kcal/mol of atoms